Entry 1:
! LuFeCuB PBE relaxed; values from VASP
&SYSTEM
  ibrav = 0, nat = 4, ntyp = 4
/
ATOMIC_SPECIES
Lu 174.97 Lu.upf
Fe 55.84 Fe.upf
Cu 63.55 Cu.upf
B 10.81 B.upf
CELL_PARAMETERS angstrom
0.000 3.005 3.005
3.005 0.000 3.005
3.005 3.005 0.000
ATOMIC_POSITIONS angstrom
Lu 0.000 0.000 0.000
Fe 3.005 3.005 3.005
Cu 1.502 1.502 1.502
B 4.507 4.507 4.507
! Polymorph energy (0 for the lowest one)   0.0000 eV per atom
! SG   F-43m

Entry 2:
! FeCuNiB PBE relaxed; values from VASP
&SYSTEM
  ibrav = 0, nat = 4, ntyp = 4
/
ATOMIC_SPECIES
Fe 55.84 Fe.upf
Cu 63.55 Cu.upf
Ni 58.69 Ni.upf
B 10.81 B.upf
CELL_PARAMETERS angstrom
0.000 2.714 2.714
2.714 0.000 2.714
2.714 2.714 0.000
ATOMIC_POSITIONS angstrom
Fe 0.000 0.000 0.000
Cu 2.714 2.714 2.714
Ni 1.357 1.357 1.357
B 4.072 4.072 4.072
! Polymorph energy (0 for the lowest one)   0.0359 eV per atom
! SG   F-43m

Entry 3:
! FeCuNiB PBE relaxed; values from VASP
&SYSTEM
  ibrav = 0, nat = 4, ntyp = 4
/
ATOMIC_SPECIES
Fe 55.84 Fe.upf
Cu 63.55 Cu.upf
Ni 58.69 Ni.upf
B 10.81 B.upf
CELL_PARAMETERS angstrom
0.000 2.700 2.700
2.700 0.000 2.700
2.700 2.700 0.000
ATOMIC_POSITIONS angstrom
Fe 0.000 0.000 0.000
Cu 1.350 1.350 1.350
Ni 2.700 2.700 2.700
B 4.051 4.051 4.051
! Polymorph energy (0 for the lowest one)   0.0000 eV per atom
! SG   F-43m

Entry 4:
! FeCu4NiB2 PBE relaxed; values from VASP
&SYSTEM
  ibrav = 0, nat = 8, ntyp = 4
/
ATOMIC_SPECIES
Fe 55.84 Fe.upf
Cu 63.55 Cu.upf
Ni 58.69 Ni.upf
B 10.81 B.upf
CELL_PARAMETERS angstrom
3.884 0.000 0.000
0.000 3.884 0.000
0.000 0.000 5.484
ATOMIC_POSITIONS angstrom
Fe 0.000 0.000 0.000
Cu 0.000 1.942 1.382
Cu 0.000 1.942 4.102
Cu 1.942 0.000 1.382
Cu 1.942 0.000 4.102
Ni 1.942 1.942 2.742
B 0.000 0.000 2.742
B 1.942 1.942 0.000
! SG   P4/mmm
! Total DFT energy (no corrections)   -4.78 eV/atom

Entry 5:
! FeCu4NiB2 PBE relaxed; values from VASP
&SYSTEM
  ibrav = 0, nat = 8, ntyp = 4
/
ATOMIC_SPECIES
Fe 55.84 Fe.upf
Cu 63.55 Cu.upf
Ni 58.69 Ni.upf
B 10.81 B.upf
CELL_PARAMETERS angstrom
3.885 0.000 0.000
0.000 3.885 0.000
0.000 0.000 5.483
ATOMIC_POSITIONS angstrom
Fe 0.000 0.000 0.000
Cu 0.000 1.942 1.382
Cu 0.000 1.942 4.101
Cu 1.942 0.000 1.382
Cu 1.942 0.000 4.101
Ni 1.942 1.942 2.742
B 0.000 0.000 2.742
B 1.942 1.942 0.000
! SG   P4/mmm
! Total DFT energy (no corrections)   -4.78 eV/atom

Entry 6:
! FeCuBOs PBE relaxed; values from VASP
&SYSTEM
  ibrav = 0, nat = 4, ntyp = 4
/
ATOMIC_SPECIES
Fe 55.84 Fe.upf
Cu 63.55 Cu.upf
B 10.81 B.upf
Os 190.23 Os.upf
CELL_PARAMETERS angstrom
0.000 2.794 2.794
2.794 0.000 2.794
2.794 2.794 0.000
ATOMIC_POSITIONS angstrom
Fe 0.000 0.000 0.000
Cu 1.397 1.397 1.397
B 4.192 4.192 4.192
Os 2.794 2.794 2.794
! Polymorph energy (0 for the lowest one)   0.0000 eV per atom
! SG   F-43m

Entry 7:
! FeCuBOs PBE relaxed; values from VASP
&SYSTEM
  ibrav = 0, nat = 4, ntyp = 4
/
ATOMIC_SPECIES
Fe 55.84 Fe.upf
Cu 63.55 Cu.upf
B 10.81 B.upf
Os 190.23 Os.upf
CELL_PARAMETERS angstrom
0.000 2.812 2.812
2.812 0.000 2.812
2.812 2.812 0.000
ATOMIC_POSITIONS angstrom
Fe 0.000 0.000 0.000
Cu 4.218 4.218 4.218
B 2.812 2.812 2.812
Os 1.406 1.406 1.406
! Polymorph energy (0 for the lowest one)   0.0198 eV per atom
! SG   F-43m

Entry 8:
! FeCuBPt PBE relaxed; values from VASP
&SYSTEM
  ibrav = 0, nat = 4, ntyp = 4
/
ATOMIC_SPECIES
Fe 55.84 Fe.upf
Cu 63.55 Cu.upf
B 10.81 B.upf
Pt 195.08 Pt.upf
CELL_PARAMETERS angstrom
0.000 2.829 2.829
2.829 0.000 2.829
2.829 2.829 0.000
ATOMIC_POSITIONS angstrom
Fe 0.000 0.000 0.000
Cu 1.415 1.415 1.415
B 4.244 4.244 4.244
Pt 2.829 2.829 2.829
! Polymorph energy (0 for the lowest one)   0.0000 eV per atom
! SG   F-43m